(1)
Below is an optimized crystal structure of NaDyTlPb, with properties calculated at the PBE level.

Cell lengths 4.2467, 4.9607, 5.2094 Å; angles 90.00, 90.00, 90.00 degrees
With the nearest neighbours (Å) after each atom.
Atoms (fractional coordinates):
Na: 0.0000 0.0000 0.0000  4 Tl 3.27, 4 Pb 3.36, 4 Dy 3.60
Dy: 0.0000 0.5000 0.5000  4 Pb 3.27, 4 Tl 3.36, 4 Na 3.60
Tl: 0.5000 0.5000 0.0000  4 Na 3.27, 4 Dy 3.36, 4 Pb 3.60
Pb: 0.5000 0.0000 0.5000  4 Dy 3.27, 4 Na 3.36, 4 Tl 3.60

Output
Its formation energy is -0.279 eV/atom. Its final energy is -13.110 eV/cell. As for the symmetry: Pmmm, No. 47. The calculation puts the total magnetic moment at 0.00 μB per cell.

(2)
Below is an optimized crystal structure of NaZr2C, with properties calculated at the PBE level.

Cell lengths 9.3422, 9.3422, 9.3422 Å; angles 20.53, 20.53, 20.53 degrees
With the nearest neighbours (Å) after each atom.
Atoms (fractional coordinates):
Na: 0.0000 0.0000 0.0000  2 Zr 3.33, 6 Na 3.33
Zr: 0.1214 0.1214 0.1214  3 C 2.29
Zr: 0.8786 0.8786 0.8786  3 C 2.29
C: 0.5000 0.5000 0.5000  6 Zr 2.29

Output
Its formation energy is -0.214 eV/atom. Its final energy is -28.495 eV/cell. As for the symmetry: R-3m, No. 166. The calculation puts the total magnetic moment at 0.47 μB per cell.

(3)
Below is an optimized crystal structure of Pm2NdY6Er3, with properties calculated at the PBE level.

Cell lengths 6.2002, 6.2002, 11.8355 Å; angles 95.00, 95.00, 119.96 degrees
With the nearest neighbours (Å) after each atom.
Atoms (fractional coordinates):
Pm: 0.1666 0.8334 0.0000  3 Pm 3.58, 3 Nd 3.58, 6 Y 3.61
Pm: 0.8334 0.1666 0.0000  3 Pm 3.58, 3 Nd 3.58, 6 Y 3.61
Nd: 0.5000 0.5000 0.0000  6 Pm 3.58, 6 Y 3.61
Y: 0.0816 0.4151 0.7463  3 Er 3.54, 6 Y 3.58, 2 Pm 3.61, 1 Nd 3.61
Y: 0.2514 0.2514 0.2537  3 Er 3.54, 6 Y 3.58, 1 Nd 3.61, 2 Pm 3.61
Y: 0.4151 0.0816 0.7463  3 Er 3.54, 6 Y 3.58, 2 Pm 3.61, 1 Nd 3.61
Y: 0.5849 0.9184 0.2537  3 Er 3.54, 6 Y 3.58, 2 Pm 3.61, 1 Nd 3.61
Y: 0.7486 0.7486 0.7463  3 Er 3.54, 6 Y 3.58, 1 Nd 3.61, 2 Pm 3.61
Y: 0.9184 0.5849 0.2537  3 Er 3.54, 6 Y 3.58, 2 Pm 3.61, 1 Nd 3.61
Er: 0.0000 0.0000 0.5000  6 Y 3.54, 6 Er 3.58
Er: 0.3333 0.6667 0.5000  6 Y 3.54, 6 Er 3.58
Er: 0.6667 0.3333 0.5000  6 Y 3.54, 6 Er 3.58

Output
Its formation energy is 0.021 eV/atom. Its final energy is -66.494 eV/cell. As for the symmetry: C2/m, No. 12. The calculation puts the total magnetic moment at 0.00 μB per cell.

(4)
Below is an optimized crystal structure of Ca6S5Br, with properties calculated at the PBE level.

Cell lengths 7.0340, 7.0340, 7.0324 Å; angles 99.62, 99.62, 119.94 degrees
With the nearest neighbours (Å) after each atom.
Atoms (fractional coordinates):
Ca: 0.0612 0.4131 0.7398  5 S 2.77-2.90, 1 Br 3.02
Ca: 0.2354 0.2354 0.2593  5 S 2.74-2.86, 1 Br 3.01
Ca: 0.4131 0.0612 0.7398  5 S 2.77-2.90, 1 Br 3.02
Ca: 0.5869 0.9388 0.2602  5 S 2.77-2.90, 1 Br 3.02
Ca: 0.7646 0.7646 0.7407  5 S 2.74-2.86, 1 Br 3.01
Ca: 0.9388 0.5869 0.2602  5 S 2.77-2.90, 1 Br 3.02
S: 0.0000 0.0000 0.5000  6 Ca 2.74-2.89
S: 0.1673 0.8327 0.0000  6 Ca 2.86
S: 0.3387 0.6613 0.5000  6 Ca 2.77-2.90
S: 0.6613 0.3387 0.5000  6 Ca 2.77-2.90
S: 0.8327 0.1673 0.0000  6 Ca 2.86
Br: 0.5000 0.5000 0.0000  6 Ca 3.01-3.02

Output
Its final energy is -58.658 eV/cell. The calculation puts the formation energy from raw total energies at -2.0282 eV/atom. As for the symmetry: C2/m, No. 12. The calculation puts the total magnetic moment at 0.00 μB per cell.

(5)
Below is an optimized crystal structure of ScC2Se, with properties calculated at the PBE level.

Cell lengths 5.5221, 5.5221, 5.5221 Å; angles 122.62, 122.62, 85.52 degrees
With the nearest neighbours (Å) after each atom.
Atoms (fractional coordinates):
Sc: 0.0000 0.0000 0.0000  4 C 2.27
Sc: 0.7500 0.2500 0.5000  4 C 2.27
C: 0.1657 0.6250 0.0407  2 Se 2.00
C: 0.3750 0.4157 0.5407  2 Se 2.00
C: 0.5843 0.1250 0.9593  2 Se 2.00
C: 0.8750 0.8343 0.4593  2 Se 2.00
Se: 0.2500 0.7500 0.5000  4 C 2.00
Se: 0.5000 0.5000 0.0000  4 C 2.00

Output
Its final energy is -49.272 eV/cell. The calculation puts the formation energy from raw total energies at 0.9069 eV/atom. As for the symmetry: I-42d, No. 122. The calculation puts the total magnetic moment at 0.00 μB per cell.

(6)
Below is an optimized crystal structure of DyRh4Pb, with properties calculated at the PBE level.

Cell lengths 5.3276, 5.3276, 5.3276 Å; angles 60.00, 60.00, 60.00 degrees
With the nearest neighbours (Å) after each atom.
Atoms (fractional coordinates):
Dy: 0.0000 0.0000 0.0000  12 Rh 3.12, 4 Pb 3.26
Rh: 0.3755 0.3755 0.3755  6 Rh 2.65-2.68
Rh: 0.3755 0.3755 0.8734  6 Rh 2.65-2.68
Rh: 0.3755 0.8734 0.3755  6 Rh 2.65-2.68
Rh: 0.8734 0.3755 0.3755  6 Rh 2.65-2.68
Pb: 0.7500 0.7500 0.7500  12 Rh 3.12, 4 Dy 3.26

Output
Its formation energy is -0.398 eV/atom. Its final energy is -40.105 eV/cell. As for the symmetry: F-43m, No. 216. The calculation puts the total magnetic moment at 0.00 μB per cell.

(7)
Below is an optimized crystal structure of USn2Pb, with properties calculated at the PBE level.

Cell lengths 12.4672, 12.4672, 12.4672 Å; angles 15.01, 15.01, 15.01 degrees
With the nearest neighbours (Å) after each atom.
Atoms (fractional coordinates):
U: 0.0000 0.0000 0.0000  2 Sn 3.21, 6 U 3.26
Sn: 0.0868 0.0868 0.0868  1 U 3.21, 6 Sn 3.26, 3 Pb 3.50
Sn: 0.9132 0.9132 0.9132  1 U 3.21, 6 Sn 3.26, 3 Pb 3.50
Pb: 0.5000 0.5000 0.5000  6 Pb 3.26, 6 Sn 3.50

Output
Its formation energy is 0.404 eV/atom. Its final energy is -21.385 eV/cell. As for the symmetry: R-3m, No. 166. The calculation puts the total magnetic moment at 3.25 μB per cell.

(8)
Below is an optimized crystal structure of Pm2Cd3Co2, with properties calculated at the PBE level.

Cell lengths 10.4687, 10.4687, 3.9124 Å; angles 90.00, 90.00, 158.74 degrees
With the nearest neighbours (Å) after each atom.
Atoms (fractional coordinates):
Pm: 0.1717 0.8283 0.0000  6 Co 2.92-2.97
Pm: 0.8283 0.1717 0.0000  6 Co 2.92-2.97
Cd: 0.0000 0.0000 0.0000  8 Cd 3.18, 2 Pm 3.53
Cd: 0.4221 0.5779 0.5000  1 Co 2.92, 5 Cd 3.18-3.20
Cd: 0.5779 0.4221 0.5000  1 Co 2.92, 5 Cd 3.18-3.20
Co: 0.2801 0.7199 0.5000  2 Co 2.29
Co: 0.7199 0.2801 0.5000  2 Co 2.29

Output
Its formation energy is -0.173 eV/atom. Its final energy is -27.671 eV/cell. As for the symmetry: Cmmm, No. 65. The calculation puts the total magnetic moment at 1.10 μB per cell.

(9)
Below is an optimized crystal structure of Ho2TiIn, with properties calculated at the PBE level.

Cell lengths 4.7149, 4.7149, 4.4891 Å; angles 90.00, 90.00, 90.00 degrees
With the nearest neighbours (Å) after each atom.
Atoms (fractional coordinates):
Ho: 0.0000 0.5000 0.0000  4 In 3.26, 4 Ti 3.26, 4 Ho 3.33
Ho: 0.5000 0.0000 0.0000  4 In 3.26, 4 Ti 3.26, 4 Ho 3.33
Ti: 0.0000 0.0000 0.5000  8 Ho 3.26, 4 In 3.33
In: 0.5000 0.5000 0.5000  8 Ho 3.26, 4 Ti 3.33

Output
Its formation energy is -0.115 eV/atom. Its final energy is -20.248 eV/cell. As for the symmetry: P4/mmm, No. 123. The calculation puts the total magnetic moment at 2.03 μB per cell.

(10)
Below is an optimized crystal structure of Ac2TlHPd6, with properties calculated at the PBE level.

Cell lengths 7.3870, 7.3870, 7.3870 Å; angles 47.53, 47.53, 47.53 degrees
With the nearest neighbours (Å) after each atom.
Atoms (fractional coordinates):
Ac: 0.2383 0.2383 0.2383  6 Pd 3.06
Ac: 0.7617 0.7617 0.7617  6 Pd 3.06
Tl: 0.5000 0.5000 0.5000  6 Pd 2.76
H: 0.0000 0.0000 0.0000  6 Pd 2.04
Pd: 0.2219 0.2219 0.7301  1 H 2.04
Pd: 0.2219 0.7301 0.2219  1 H 2.04
Pd: 0.2699 0.7781 0.7781  1 H 2.04
Pd: 0.7301 0.2219 0.2219  1 H 2.04
Pd: 0.7781 0.2699 0.7781  1 H 2.04
Pd: 0.7781 0.7781 0.2699  1 H 2.04

Output
Its final energy is -50.853 eV/cell. As for the symmetry: R-3m, No. 166. The calculation puts the total magnetic moment at 0.00 μB per cell.

(11)
Below is an optimized crystal structure of NaAcH6Rh2, with properties calculated at the PBE level.

Cell lengths 6.4313, 6.4313, 5.6429 Å; angles 98.84, 98.84, 99.10 degrees
With the nearest neighbours (Å) after each atom.
Atoms (fractional coordinates):
Na: 0.0845 0.9155 0.7500  6 H 2.13-2.32
Na: 0.9155 0.0845 0.2500  6 H 2.13-2.32
Ac: 0.3351 0.6649 0.2500  10 H 2.51-2.68
Ac: 0.6649 0.3351 0.7500  10 H 2.51-2.68
H: 0.0084 0.7872 0.3690  1 Rh 1.65
H: 0.0593 0.5753 0.8441  1 Rh 1.62
H: 0.2128 0.9916 0.1310  1 Rh 1.65
H: 0.3004 0.3122 0.9191  2 Rh 1.82-1.91
H: 0.3122 0.3004 0.4191  2 Rh 1.82-1.91
H: 0.4247 0.9407 0.6559  1 Rh 1.62
H: 0.5753 0.0593 0.3441  1 Rh 1.62
H: 0.6878 0.6996 0.5809  2 Rh 1.82-1.91
H: 0.6996 0.6878 0.0809  2 Rh 1.82-1.91
H: 0.7872 0.0084 0.8690  1 Rh 1.65
H: 0.9407 0.4247 0.1559  1 Rh 1.62
H: 0.9916 0.2128 0.6310  1 Rh 1.65
Rh: 0.1791 0.4283 0.6708  2 H 1.62-1.65
Rh: 0.4283 0.1791 0.1708  2 H 1.62-1.65
Rh: 0.5717 0.8209 0.8292  2 H 1.62-1.65
Rh: 0.8209 0.5717 0.3292  2 H 1.62-1.65

Output
Its final energy is -87.032 eV/cell. As for the symmetry: C2/c, No. 15. The calculation puts the total magnetic moment at 0.00 μB per cell.